[1]
Nb2Al | PBE | relaxed

Symmetry: P4_2/mnm
Raw total energy in eV for the cell shown: -248.23

Unit cell a=9.984 b=9.984 c=5.194 alpha=90.00 beta=90.00 gamma=90.00
Fractional positions:
Al 0.000 0.000 0.000
Al 0.738 0.067 0.000
Al 0.933 0.262 0.000
Al 0.067 0.738 0.000
Al 0.262 0.933 0.000
Al 0.433 0.238 0.500
Al 0.238 0.433 0.500
Al 0.500 0.500 0.500
Al 0.762 0.567 0.500
Al 0.567 0.762 0.500
Nb 0.465 0.128 0.000
Nb 0.396 0.396 0.000
Nb 0.128 0.465 0.000
Nb 0.872 0.535 0.000
Nb 0.604 0.604 0.000
Nb 0.535 0.872 0.000
Nb 0.682 0.318 0.248
Nb 0.318 0.682 0.248
Nb 0.182 0.182 0.252
Nb 0.818 0.818 0.252
Nb 0.628 0.035 0.500
Nb 0.896 0.104 0.500
Nb 0.965 0.372 0.500
Nb 0.035 0.628 0.500
Nb 0.104 0.896 0.500
Nb 0.372 0.965 0.500
Nb 0.182 0.182 0.748
Nb 0.818 0.818 0.748
Nb 0.682 0.318 0.752
Nb 0.318 0.682 0.752

---

[2]
LaMgNb | PBE | relaxed

Symmetry: F-43m
Raw total energy in eV for the cell shown: -12.79

Unit cell a=5.044 b=5.044 c=5.044 alpha=60.00 beta=60.00 gamma=60.00
Fractional positions:
La 0.000 0.000 0.000
Mg 0.250 0.250 0.250
Nb 0.750 0.750 0.750

---

[3]
TbAgGeTe2Se | PBE | relaxed

Symmetry: Cmcm
Raw total energy in eV for the cell shown: -50.82

Unit cell a=7.485 b=7.485 c=10.507 alpha=90.00 beta=90.00 gamma=147.41
Fractional positions:
Ag 0.980 0.020 0.250
Ag 0.020 0.980 0.750
Ge 0.258 0.742 0.250
Ge 0.742 0.258 0.750
Se 0.596 0.404 0.250
Se 0.404 0.596 0.750
Tb 0.500 0.500 0.000
Tb 0.500 0.500 0.500
Te 0.844 0.156 0.062
Te 0.844 0.156 0.438
Te 0.156 0.844 0.562
Te 0.156 0.844 0.938